# Sc5Co2Ag2 GGA-PBE relaxed
data_Sc5Co2Ag2
_chemical_formula_sum 'Sc20 Co8 Ag8'
_cell_length_a 15.4411
_cell_length_b 6.6432
_cell_length_c 6.7558
_cell_angle_alpha 90.00
_cell_angle_beta 90.00
_cell_angle_gamma 90.00
_space_group_name_H-M_alt 'C m c e'
_space_group_IT_number 64
_space_group_name_Hall '-C 2ac 2'
loop_
_atom_site_label
_atom_site_fract_x
_atom_site_fract_y
_atom_site_fract_z
_atom_site_occupancy
Sc1 0.0000 0.0000 0.0000 1
Sc2 0.1228 0.1836 0.3145 1
Co1 0.0000 0.1155 0.6186 1
Ag1 0.2239 0.0000 0.0000 1
# electronic total energy: -5.995 eV/atom
# total magnetic moment: 0.00 μB per atom